# 1
Here is a crystal of CdSeI3 relaxed with PBEsol from Alexandria via LeMat-Bulk. Energies are from meta-GGA SCAN.

```
data_CdSeI3
_space_group_name_H-M_alt 'P m -3 m'
_space_group_IT_number 221
_space_group_name_Hall '-P 4 2 3'
_cell_length_a 5.6328
_cell_length_b 5.6328
_cell_length_c 5.6328
_cell_angle_alpha 90.00
_cell_angle_beta 90.00
_cell_angle_gamma 90.00
loop_
_atom_site_label
_atom_site_fract_x
_atom_site_fract_y
_atom_site_fract_z
Cd1 0.0000 0.0000 0.0000
Se1 0.5000 0.5000 0.5000
I1 0.0000 0.5000 0.5000
```

ΔE to the lowest computed polymorph: 0.0 kJ/mol of atoms
DFT total energy: -31.984 eV per atom
Uncorrected formation energy: 159 meV per atom
Crystal system: cubic

# 2
Here is a crystal of CdSi2I relaxed with PBEsol from Alexandria via LeMat-Bulk. Energies are from meta-GGA SCAN.

```
data_CdSi2I
_space_group_name_H-M_alt 'F m -3 m'
_space_group_IT_number 225
_space_group_name_Hall '-F 4 2 3'
_cell_length_a 6.9784
_cell_length_b 6.9784
_cell_length_c 6.9784
_cell_angle_alpha 90.00
_cell_angle_beta 90.00
_cell_angle_gamma 90.00
loop_
_atom_site_label
_atom_site_fract_x
_atom_site_fract_y
_atom_site_fract_z
Cd1 0.0000 0.0000 0.0000
Si1 0.2500 0.2500 0.2500
I1 0.0000 0.0000 0.5000
```

DFT total energy: -20.758 eV per atom
Uncorrected formation energy: 1039 meV per atom
Crystal system: cubic

# 3
Here is a crystal of Cd2SiI relaxed with PBEsol from Alexandria via LeMat-Bulk. Energies are from meta-GGA SCAN.

```
data_Cd2SiI
_space_group_name_H-M_alt 'I -4 2 d'
_space_group_IT_number 122
_space_group_name_Hall 'I -4 2bw'
_cell_length_a 6.4702
_cell_length_b 6.4702
_cell_length_c 12.3118
_cell_angle_alpha 90.00
_cell_angle_beta 90.00
_cell_angle_gamma 90.00
loop_
_atom_site_label
_atom_site_fract_x
_atom_site_fract_y
_atom_site_fract_z
Cd1 0.1856 0.2500 0.1250
Si1 0.0000 0.0000 0.0000
I1 0.0000 0.0000 0.5000
```

DFT total energy: -26.744 eV per atom
Uncorrected formation energy: 153 meV per atom
Crystal system: tetragonal

# 4
Here is a crystal of SrCd3I relaxed with PBEsol from Alexandria via LeMat-Bulk. Energies are from meta-GGA SCAN.

```
data_SrCd3I
_space_group_name_H-M_alt 'P m -3 m'
_space_group_IT_number 221
_space_group_name_Hall '-P 4 2 3'
_cell_length_a 6.3221
_cell_length_b 6.3221
_cell_length_c 6.3221
_cell_angle_alpha 90.00
_cell_angle_beta 90.00
_cell_angle_gamma 90.00
loop_
_atom_site_label
_atom_site_fract_x
_atom_site_fract_y
_atom_site_fract_z
Sr1 0.0000 0.0000 0.0000
Cd1 0.0000 0.0000 0.5000
I1 0.5000 0.5000 0.5000
```

DFT total energy: -29.767 eV per atom
Uncorrected formation energy: 285 meV per atom
Crystal system: cubic

# 5
Here is a crystal of SrCdTe2I relaxed with PBEsol from Alexandria via LeMat-Bulk. Energies are from meta-GGA SCAN.

```
data_SrCdTe2I
_space_group_name_H-M_alt 'P 4/m m m'
_space_group_IT_number 123
_space_group_name_Hall '-P 4 2'
_cell_length_a 6.1293
_cell_length_b 6.1293
_cell_length_c 6.0667
_cell_angle_alpha 90.00
_cell_angle_beta 90.00
_cell_angle_gamma 90.00
loop_
_atom_site_label
_atom_site_fract_x
_atom_site_fract_y
_atom_site_fract_z
Sr1 0.0000 0.0000 0.0000
Cd1 0.5000 0.5000 0.5000
Te1 0.0000 0.5000 0.0000
I1 0.0000 0.0000 0.5000
```

DFT total energy: -32.905 eV per atom
Uncorrected formation energy: -119 meV per atom
Crystal system: tetragonal

# 6
Here is a crystal of Ta3CdI relaxed with PBEsol from Alexandria via LeMat-Bulk. Energies are from meta-GGA SCAN.

```
data_Ta3CdI
_space_group_name_H-M_alt 'P m -3 m'
_space_group_IT_number 221
_space_group_name_Hall '-P 4 2 3'
_cell_length_a 4.9888
_cell_length_b 4.9888
_cell_length_c 4.9888
_cell_angle_alpha 90.00
_cell_angle_beta 90.00
_cell_angle_gamma 90.00
loop_
_atom_site_label
_atom_site_fract_x
_atom_site_fract_y
_atom_site_fract_z
Ta1 0.0000 0.0000 0.5000
Cd1 0.0000 0.0000 0.0000
I1 0.5000 0.5000 0.5000
```

DFT total energy: -50.928 eV per atom
Uncorrected formation energy: 2453 meV per atom
Crystal system: cubic

# 7
Here is a crystal of TaCdTe2I relaxed with PBEsol from Alexandria via LeMat-Bulk. Energies are from meta-GGA SCAN.

```
data_TaCdTe2I
_space_group_name_H-M_alt 'P 4/m m m'
_space_group_IT_number 123
_space_group_name_Hall '-P 4 2'
_cell_length_a 5.3463
_cell_length_b 5.3463
_cell_length_c 5.5717
_cell_angle_alpha 90.00
_cell_angle_beta 90.00
_cell_angle_gamma 90.00
loop_
_atom_site_label
_atom_site_fract_x
_atom_site_fract_y
_atom_site_fract_z
Ta1 0.0000 0.0000 0.0000
Cd1 0.5000 0.5000 0.5000
Te1 0.0000 0.5000 0.0000
I1 0.0000 0.0000 0.5000
```

DFT total energy: -41.426 eV per atom
Uncorrected formation energy: 222 meV per atom
Crystal system: tetragonal

# 8
Here is a crystal of CdTc3I relaxed with PBEsol from Alexandria via LeMat-Bulk. Energies are from meta-GGA SCAN.

```
data_CdTc3I
_space_group_name_H-M_alt 'P m -3 m'
_space_group_IT_number 221
_space_group_name_Hall '-P 4 2 3'
_cell_length_a 4.7553
_cell_length_b 4.7553
_cell_length_c 4.7553
_cell_angle_alpha 90.00
_cell_angle_beta 90.00
_cell_angle_gamma 90.00
loop_
_atom_site_label
_atom_site_fract_x
_atom_site_fract_y
_atom_site_fract_z
Cd1 0.0000 0.0000 0.0000
Tc1 0.0000 0.5000 0.5000
I1 0.5000 0.5000 0.5000
```

DFT total energy: -32.585 eV per atom
Uncorrected formation energy: 1882 meV per atom
Crystal system: cubic